1.
# Zn2TcAg

A relaxed structure of Zn2TcAg (PBE, the Alexandria database).

Cell: 3.208 4.299 8.876 Å, 90.00 90.00 90.00°
Element x y z (fractional)
Zn  0.000  0.000  0.000
Zn  0.000  0.500  0.242
Zn  0.500  0.000  0.242
Zn  0.500  0.500  0.000
Tc  0.000  0.500  0.763
Tc  0.500  0.000  0.763
Ag  0.000  0.000  0.494
Ag  0.500  0.500  0.494

## Properties
Mass density = 9134 kg/m3
Crystal system = orthorhombic
Formation enthalpy at 0 K = 0.202 eV/atom



2.
# TcAg3

A relaxed structure of TcAg3 (PBE, the Alexandria database).

Cell: 9.698 2.713 5.204 Å, 90.00 97.94 90.00°
Element x y z (fractional)
Tc  0.000  0.000  0.000
Tc  0.500  0.500  0.000
Ag  0.000  0.500  0.500
Ag  0.247  0.500  0.245
Ag  0.253  0.000  0.755
Ag  0.500  0.000  0.500
Ag  0.747  0.000  0.245
Ag  0.753  0.500  0.755

## Properties
Mass density = 10325 kg/m3
Crystal system = monoclinic
Formation enthalpy at 0 K = 0.475 eV/atom



3.
# Y2HgPb

A relaxed structure of Y2HgPb (PBE, the Alexandria database).

Cell: 5.239 5.239 3.951 Å, 90.00 90.00 90.00°
Element x y z (fractional)
Y  0.000  0.500  0.000
Y  0.500  0.000  0.000
Hg  0.000  0.000  0.500
Pb  0.500  0.500  0.500

## Properties
Mass density = 8964 kg/m3
Crystal system = tetragonal
Formation enthalpy at 0 K = -0.490 eV/atom



4.
# Ce2AlSnPd6

A relaxed structure of Ce2AlSnPd6 (PBE, the Alexandria database).

Cell: 5.491 5.672 7.746 Å, 104.01 95.12 118.52°
Element x y z (fractional)
Ce  0.179  0.016  0.269
Ce  0.821  0.984  0.731
Al  0.500  0.500  0.000
Sn  0.000  0.500  0.500
Pd  0.104  0.461  0.152
Pd  0.370  0.007  0.835
Pd  0.370  0.374  0.643
Pd  0.630  0.626  0.357
Pd  0.630  0.993  0.165
Pd  0.896  0.539  0.848

## Properties
Mass density = 8854 kg/m3
Crystal system = triclinic
Formation enthalpy at 0 K = -0.652 eV/atom



5.
# Sr6Hg2H

A relaxed structure of Sr6Hg2H (PBE, the Alexandria database).

Cell: 7.400 8.403 12.908 Å, 90.00 122.75 90.00°
Element x y z (fractional)
Sr  0.115  0.028  0.243
Sr  0.115  0.472  0.743
Sr  0.224  0.684  0.062
Sr  0.224  0.816  0.562
Sr  0.380  0.176  0.057
Sr  0.380  0.324  0.557
Sr  0.620  0.676  0.443
Sr  0.620  0.824  0.943
Sr  0.776  0.184  0.438
Sr  0.776  0.316  0.938
Sr  0.885  0.528  0.257
Sr  0.885  0.972  0.757
Hg  0.305  0.114  0.755
Hg  0.305  0.386  0.255
Hg  0.695  0.614  0.745
Hg  0.695  0.886  0.245
H  0.000  0.000  0.000
H  0.000  0.500  0.500

## Properties
VASP energy = -33.9 eV for the cell shown
Mass density = 4565 kg/m3
Crystal system = monoclinic



6.
# HfSc2Au6

A relaxed structure of HfSc2Au6 (PBE, the Alexandria database).

Cell: 8.117 8.117 5.049 Å, 98.85 98.85 143.80°
Element x y z (fractional)
Hf  0.000  0.000  0.000
Sc  0.166  0.834  0.500
Sc  0.834  0.166  0.500
Au  0.164  0.494  0.166
Au  0.328  0.328  0.668
Au  0.494  0.164  0.166
Au  0.506  0.836  0.834
Au  0.672  0.672  0.332
Au  0.836  0.506  0.834

## Properties
Mass density = 14108 kg/m3
Crystal system = monoclinic
Formation enthalpy at 0 K = -0.661 eV/atom



7.
# Zn2TcAs

A relaxed structure of Zn2TcAs (PBE, the Alexandria database).

Cell: 2.811 4.483 4.899 Å, 90.00 94.32 90.00°
Element x y z (fractional)
Zn  0.000  0.000  0.000
Zn  0.047  0.500  0.714
Tc  0.514  0.000  0.504
As  0.445  0.500  0.243

## Properties
Mass density = 8193 kg/m3
Crystal system = monoclinic
Formation enthalpy at 0 K = 0.128 eV/atom



8.
# ThGe2O6

A relaxed structure of ThGe2O6 (PBE, the Alexandria database).

Cell: 7.396 7.396 5.781 Å, 103.08 103.08 87.14°
Element x y z (fractional)
Th  0.128  0.872  0.750
Th  0.872  0.128  0.250
Ge  0.224  0.373  0.761
Ge  0.373  0.224  0.261
Ge  0.627  0.776  0.739
Ge  0.776  0.627  0.239
O  0.069  0.177  0.643
O  0.114  0.588  0.804
O  0.177  0.069  0.143
O  0.345  0.381  0.530
O  0.381  0.345  0.030
O  0.412  0.886  0.696
O  0.588  0.114  0.304
O  0.619  0.655  0.970
O  0.655  0.619  0.470
O  0.823  0.931  0.857
O  0.886  0.412  0.196
O  0.931  0.823  0.357

## Properties
VASP energy = -134.6 eV for the cell shown
Mass density = 5239 kg/m3
Crystal system = monoclinic



9.
# Co2Tc2Ni

A relaxed structure of Co2Tc2Ni (PBE, the Alexandria database).

Cell: 6.975 6.975 2.612 Å, 90.00 90.00 90.00°
Element x y z (fractional)
Co  0.120  0.380  0.000
Co  0.380  0.880  0.000
Co  0.620  0.120  0.000
Co  0.880  0.620  0.000
Tc  0.176  0.676  0.500
Tc  0.324  0.176  0.500
Tc  0.676  0.824  0.500
Tc  0.824  0.324  0.500
Ni  0.000  0.000  0.000
Ni  0.500  0.500  0.000

## Properties
Mass density = 9738 kg/m3
Crystal system = tetragonal
Formation enthalpy at 0 K = 0.207 eV/atom



10.
# Na2AcSmSe4

A relaxed structure of Na2AcSmSe4 (PBE, the Alexandria database).

Cell: 7.452 4.378 7.595 Å, 90.00 109.84 90.00°
Element x y z (fractional)
Na  0.000  0.000  0.000
Na  0.000  0.500  0.500
Ac  0.500  0.000  0.500
Sm  0.500  0.500  0.000
Se  0.258  0.500  0.239
Se  0.265  0.000  0.767
Se  0.735  0.000  0.233
Se  0.742  0.500  0.761

## Properties
VASP energy = -39.0 eV for the cell shown
Mass density = 5266 kg/m3
Crystal system = monoclinic



11.
# VCo2Ge

A relaxed structure of VCo2Ge (PBE, the Alexandria database).

Cell: 2.674 3.419 5.228 Å, 90.00 90.09 90.00°
Element x y z (fractional)
V  0.000  0.000  0.000
Co  0.499  0.500  0.755
Co  0.501  0.500  0.245
Ge  0.000  0.000  0.500

## Properties
Mass density = 8388 kg/m3
Crystal system = monoclinic
Formation enthalpy at 0 K = -0.162 eV/atom



12.
# KAg2Os

A relaxed structure of KAg2Os (PBE, the Alexandria database).

Cell: 6.919 6.919 6.919 Å, 90.00 90.00 90.00°
Element x y z (fractional)
K  0.000  0.000  0.000
K  0.000  0.500  0.500
K  0.500  0.000  0.500
K  0.500  0.500  0.000
Ag  0.000  0.000  0.500
Ag  0.000  0.500  0.000
Ag  0.250  0.250  0.750
Ag  0.250  0.750  0.250
Ag  0.500  0.000  0.000
Ag  0.500  0.500  0.500
Ag  0.750  0.250  0.250
Ag  0.750  0.750  0.750
Os  0.250  0.250  0.250
Os  0.250  0.750  0.750
Os  0.750  0.250  0.750
Os  0.750  0.750  0.250

## Properties
Mass density = 8926 kg/m3
Crystal system = cubic
Formation enthalpy at 0 K = 1.342 eV/atom